[1]
# TlZnIn

An optimized crystal structure of TlZnIn (PBE, Alexandria via LeMat-Bulk).

Results
Total magnetization ... 0.00 μB per cell
V ... 74.5 Å³/f.u.
Uncorrected energy ... -2.013 eV per atom
SG ... Pnma, No. 62
Formation energy from the elements ... 0.114 eV per atom

a = 6.996 Å, b = 3.574 Å, c = 11.919 Å
α = 90.00°, β = 90.00°, γ = 90.00°
Fractional positions:
Tl 0.136 0.250 0.093
Tl 0.364 0.750 0.593
Tl 0.636 0.250 0.407
Tl 0.864 0.750 0.907
Zn 0.128 0.250 0.761
Zn 0.372 0.750 0.261
Zn 0.628 0.250 0.739
Zn 0.872 0.750 0.239
In 0.110 0.250 0.396
In 0.390 0.750 0.896
In 0.610 0.250 0.104
In 0.890 0.750 0.604


[2]
# TlZn2In

An optimized crystal structure of TlZn2In (PBE, Alexandria via LeMat-Bulk).

Results
Total magnetization ... 0.00 μB per cell
Relative energy among the computed polymorphs ... 73 meV/atom
V ... 91.7 Å³/f.u.
Uncorrected energy ... -1.738 eV per atom
SG ... Fm-3m, No. 225
Formation energy from the elements ... 0.175 eV per atom

a = 5.061 Å, b = 5.061 Å, c = 5.061 Å
α = 60.00°, β = 60.00°, γ = 60.00°
Fractional positions:
Tl 0.000 0.000 0.000
Zn 0.250 0.250 0.250
Zn 0.750 0.750 0.750
In 0.500 0.500 0.500


[3]
# TlZn2In

An optimized crystal structure of TlZn2In (PBE, Alexandria via LeMat-Bulk).

Results
Total magnetization ... 0.00 μB per cell
Relative energy among the computed polymorphs ... 39 meV/atom
V ... 91.1 Å³/f.u.
Uncorrected energy ... -1.772 eV per atom
SG ... Imm2, No. 44
Formation energy from the elements ... 0.141 eV per atom

a = 6.361 Å, b = 6.361 Å, c = 6.361 Å
α = 151.01°, β = 132.68°, γ = 56.45°
Fractional positions:
Tl 0.000 0.000 0.000
Zn 0.260 0.760 0.500
Zn 0.451 0.451 0.000
In 0.706 0.206 0.500


[4]
# Tl3ZnIn

An optimized crystal structure of Tl3ZnIn (PBE, Alexandria via LeMat-Bulk).

Results
Total magnetization ... 0.00 μB per cell
Relative energy among the computed polymorphs ... 213 meV/atom
V ... 198.8 Å³/f.u.
Uncorrected energy ... -1.775 eV per atom
SG ... Pm-3m, No. 221
Formation energy from the elements ... 0.448 eV per atom

a = 5.836 Å, b = 5.836 Å, c = 5.836 Å
α = 90.00°, β = 90.00°, γ = 90.00°
Fractional positions:
Tl 0.000 0.000 0.500
Tl 0.000 0.500 0.000
Tl 0.500 0.000 0.000
Zn 0.500 0.500 0.500
In 0.000 0.000 0.000


[5]
# TlZnIn

An optimized crystal structure of TlZnIn (PBE, Alexandria via LeMat-Bulk).

Results
Total magnetization ... 0.00 μB per cell
V ... 75.0 Å³/f.u.
Uncorrected energy ... -2.055 eV per atom
SG ... P-1, No. 2
Formation energy from the elements ... 0.071 eV per atom

a = 3.362 Å, b = 5.725 Å, c = 7.944 Å
α = 101.01°, β = 90.84°, γ = 90.49°
Fractional positions:
Tl 0.241 0.278 0.101
Tl 0.759 0.722 0.899
Zn 0.254 0.662 0.574
Zn 0.746 0.338 0.426
In 0.256 0.168 0.686
In 0.744 0.832 0.314


[6]
# Tl3ZnIn12

An optimized crystal structure of Tl3ZnIn12 (PBE, Alexandria via LeMat-Bulk).

Results
Total magnetization ... 0.00 μB per cell
V ... 432.5 Å³/f.u.
Uncorrected energy ... -2.518 eV per atom
SG ... P4/mmm, No. 123
Formation energy from the elements ... 0.059 eV per atom

a = 4.874 Å, b = 4.874 Å, c = 18.210 Å
α = 90.00°, β = 90.00°, γ = 90.00°
Fractional positions:
Tl 0.000 0.000 0.000
Tl 0.000 0.000 0.258
Tl 0.000 0.000 0.742
Zn 0.000 0.000 0.500
In 0.000 0.500 0.129
In 0.000 0.500 0.388
In 0.000 0.500 0.612
In 0.000 0.500 0.871
In 0.500 0.000 0.129
In 0.500 0.000 0.388
In 0.500 0.000 0.612
In 0.500 0.000 0.871
In 0.500 0.500 0.000
In 0.500 0.500 0.258
In 0.500 0.500 0.500
In 0.500 0.500 0.742